# 1
A geometry-optimized Fe2HgPt structure, computed with PBE.

DFT total energy in eV per formula unit: -22.74
Calculated volume in Å³/atom: 15.24
Crystal system: monoclinic
Symmetry: Cm
ΔE_f in eV/atom: 0.13

a = 4.8583 Å, b = 4.8583 Å, c = 4.7493 Å
α = 74.75°, β = 74.75°, γ = 34.44°
Atoms (fractional coordinates):
Fe: 0.9854 0.9854 0.9972
Fe: 0.2722 0.2722 0.2362
Hg: 0.5081 0.5081 0.4815
Pt: 0.7344 0.7344 0.7851

---

# 2
A geometry-optimized Y2Ni15Au2 structure, computed with PBE.

DFT total energy in eV per formula unit: -109.58
Calculated volume in Å³/atom: 13.35
Crystal system: trigonal
Symmetry: R-3m
ΔE_f in eV/atom: -0.18

a = 6.3689 Å, b = 6.3689 Å, c = 6.3689 Å
α = 83.42°, β = 83.42°, γ = 83.42°
Atoms (fractional coordinates):
Y: 0.3481 0.3481 0.3481
Y: 0.6519 0.6519 0.6519
Ni: 0.5000 0.0000 0.0000
Ni: 0.0000 0.0000 0.5000
Ni: 0.0000 0.5000 0.0000
Ni: 0.0000 0.6979 0.3021
Ni: 0.6979 0.3021 0.0000
Ni: 0.3021 0.0000 0.6979
Ni: 0.3021 0.6979 0.0000
Ni: 0.6979 0.0000 0.3021
Ni: 0.0000 0.3021 0.6979
Ni: 0.1624 0.6511 0.6511
Ni: 0.6511 0.6511 0.1624
Ni: 0.6511 0.1624 0.6511
Ni: 0.8376 0.3489 0.3489
Ni: 0.3489 0.3489 0.8376
Ni: 0.3489 0.8376 0.3489
Au: 0.1090 0.1090 0.1090
Au: 0.8910 0.8910 0.8910

---

# 3
A geometry-optimized Ba8P2Rh structure, computed with PBE.

DFT total energy in eV per formula unit: -38.19
Calculated volume in Å³/atom: 49.83
Crystal system: monoclinic
Symmetry: C2/m
ΔE_f in eV/atom: -0.42

a = 6.9950 Å, b = 9.0130 Å, c = 9.0130 Å
α = 75.05°, β = 92.59°, γ = 92.59°
Atoms (fractional coordinates):
Ba: 0.7867 0.8919 0.3187
Ba: 0.2133 0.6813 0.1081
Ba: 0.7222 0.8287 0.8287
Ba: 0.2778 0.1713 0.1713
Ba: 0.7867 0.3187 0.8919
Ba: 0.2133 0.1081 0.6813
Ba: 0.2635 0.6042 0.6042
Ba: 0.7365 0.3958 0.3958
P: 0.7982 0.6115 0.6115
P: 0.2018 0.3885 0.3885
Rh: 0.0000 0.0000 0.0000